Record 1
Here is a geometry-optimized SrPr3Hg2 structure from the Alexandria database. Energies are from PBE.

Results
**Offset from the most stable computed form**: 0.059 eV/atom
**Space group**: C2/m
**Formation enthalpy at 0 K**: -0.26 eV per atom
**Size of the total moment**: 0.0 μB per cell

Unit cell a=9.0943 b=9.0943 c=9.4097 alpha=116.15 beta=116.15 gamma=35.38
Last column: nearest neighbours and their distance in Å.
Fractional positions:
1 Sr 0.1289 0.1289 0.1952  5 Hg 3.42-3.58, 2 Pr 3.77
2 Sr 0.8711 0.8711 0.8048  5 Hg 3.42-3.58, 2 Pr 3.77
3 Pr 0.0670 0.0670 0.7156  3 Hg 3.40-3.45, 6 Pr 3.62-3.78
4 Pr 0.3051 0.3051 0.9981  2 Hg 3.07-3.25, 2 Pr 3.37
5 Pr 0.3802 0.3802 0.4753  4 Hg 3.07-3.38
6 Pr 0.6198 0.6198 0.5247  4 Hg 3.07-3.38
7 Pr 0.6949 0.6949 0.0019  2 Hg 3.07-3.25, 2 Pr 3.37
8 Pr 0.9330 0.9330 0.2844  3 Hg 3.40-3.45, 6 Pr 3.62-3.78
9 Hg 0.2304 0.2304 0.6111  5 Pr 3.24-3.40, 3 Sr 3.47-3.58
10 Hg 0.4953 0.4953 0.8396  1 Hg 2.95, 2 Pr 3.07
11 Hg 0.5047 0.5047 0.1604  1 Hg 2.95, 2 Pr 3.07
12 Hg 0.7696 0.7696 0.3889  5 Pr 3.24-3.40, 3 Sr 3.47-3.58

***

Record 2
Here is a geometry-optimized SrPrHg structure from the Alexandria database. Energies are from PBE.

Results
**Offset from the most stable computed form**: 0.052 eV/atom
**Space group**: I4mm
**Formation enthalpy at 0 K**: -0.29 eV per atom
**Size of the total moment**: 0.2 μB per cell

Unit cell a=7.4805 b=7.4805 c=7.4805 alpha=149.62 beta=149.62 gamma=43.50
Last column: nearest neighbours and their distance in Å.
Fractional positions:
1 Sr 0.0000 0.0000 0.0000  4 Hg 3.50, 1 Pr 3.84, 4 Sr 3.92
2 Pr 0.2763 0.2763 0.0000  4 Hg 3.25
3 Hg 0.6538 0.6538 0.0000  4 Pr 3.25, 4 Sr 3.50

***

Record 3
Here is a geometry-optimized SrPrHg structure from the Alexandria database. Energies are from PBE.

Results
**Offset from the most stable computed form**: 0.200 eV/atom
**Space group**: F-43m
**Formation enthalpy at 0 K**: -0.14 eV per atom
**Size of the total moment**: 0.0 μB per cell

Unit cell a=5.4250 b=5.4250 c=5.4250 alpha=60.00 beta=60.00 gamma=60.00
Last column: nearest neighbours and their distance in Å.
Fractional positions:
1 Sr 0.0000 0.0000 0.0000  4 Hg 3.32
2 Pr 0.5000 0.5000 0.5000  4 Hg 3.32
3 Hg 0.2500 0.2500 0.2500  4 Pr 3.32, 4 Sr 3.32

***

Record 4
Here is a geometry-optimized Sr3PrHg4 structure from the Alexandria database. Energies are from PBE.

Results
**Space group**: P4/mmm
**Formation enthalpy at 0 K**: -0.52 eV per atom
**Size of the total moment**: 0.0 μB per cell

Unit cell a=3.9509 b=3.9509 c=16.0157 alpha=90.00 beta=90.00 gamma=90.00
Last column: nearest neighbours and their distance in Å.
Fractional positions:
1 Sr 0.0000 0.0000 0.0000  8 Hg 3.46
2 Sr 0.0000 0.0000 0.2547  8 Hg 3.45-3.49
3 Sr 0.0000 0.0000 0.7453  8 Hg 3.45-3.49
4 Pr 0.0000 0.0000 0.5000  8 Hg 3.34
5 Hg 0.5000 0.5000 0.1279  8 Sr 3.45-3.46
6 Hg 0.5000 0.5000 0.3858  4 Pr 3.34, 4 Sr 3.49, 1 Hg 3.66
7 Hg 0.5000 0.5000 0.6142  4 Pr 3.34, 4 Sr 3.49, 1 Hg 3.66
8 Hg 0.5000 0.5000 0.8721  8 Sr 3.45-3.46

***

Record 5
Here is a geometry-optimized SrPr4Hg4 structure from the Alexandria database. Energies are from PBE.

Results
**Space group**: P4_2/n
**Formation enthalpy at 0 K**: -0.25 eV per atom
**Size of the total moment**: 0.0 μB per cell

Unit cell a=10.2973 b=10.2973 c=6.1254 alpha=90.00 beta=90.00 gamma=90.00
Last column: nearest neighbours and their distance in Å.
Fractional positions:
1 Sr 0.2500 0.2500 0.2500  4 Hg 3.29
2 Sr 0.7500 0.7500 0.7500  4 Hg 3.29
3 Pr 0.0970 0.6564 0.1580  5 Hg 3.18-3.33
4 Pr 0.1564 0.9030 0.6580  5 Hg 3.18-3.33
5 Pr 0.3436 0.5970 0.6580  5 Hg 3.18-3.33
6 Pr 0.4030 0.8436 0.1580  5 Hg 3.18-3.33
7 Pr 0.5970 0.1564 0.8420  5 Hg 3.18-3.33
8 Pr 0.6564 0.4030 0.3420  5 Hg 3.18-3.33
9 Pr 0.8436 0.0970 0.3420  5 Hg 3.18-3.33
10 Pr 0.9030 0.3436 0.8420  5 Hg 3.18-3.33
11 Hg 0.0300 0.6050 0.6593  1 Hg 2.98, 5 Pr 3.18-3.33, 1 Sr 3.29
12 Hg 0.1050 0.9700 0.1593  1 Hg 2.98, 5 Pr 3.18-3.33, 1 Sr 3.29
13 Hg 0.3950 0.5300 0.1593  1 Hg 2.98, 5 Pr 3.18-3.33, 1 Sr 3.29
14 Hg 0.4700 0.8950 0.6593  1 Hg 2.98, 5 Pr 3.18-3.33, 1 Sr 3.29
15 Hg 0.5300 0.1050 0.3407  1 Hg 2.98, 5 Pr 3.18-3.33, 1 Sr 3.29
16 Hg 0.6050 0.4700 0.8407  1 Hg 2.98, 5 Pr 3.18-3.33, 1 Sr 3.29
17 Hg 0.8950 0.0300 0.8407  1 Hg 2.98, 5 Pr 3.18-3.33, 1 Sr 3.29
18 Hg 0.9700 0.3950 0.3407  1 Hg 2.98, 5 Pr 3.18-3.33, 1 Sr 3.29

***

Record 6
Here is a geometry-optimized SrPr2Hg structure from the Alexandria database. Energies are from PBE.

Results
**Offset from the most stable computed form**: 0.000 eV/atom
**Space group**: P4/mmm
**Formation enthalpy at 0 K**: -0.14 eV per atom
**Size of the total moment**: 0.0 μB per cell

Unit cell a=3.9137 b=3.9137 c=9.6117 alpha=90.00 beta=90.00 gamma=90.00
Last column: nearest neighbours and their distance in Å.
Fractional positions:
1 Sr 0.0000 0.0000 0.0000  4 Sr 3.91, 8 Pr 4.07
2 Pr 0.5000 0.5000 0.3103  4 Hg 3.31, 1 Pr 3.65
3 Pr 0.5000 0.5000 0.6897  4 Hg 3.31, 1 Pr 3.65
4 Hg 0.0000 0.0000 0.5000  8 Pr 3.31

***

Record 7
Here is a geometry-optimized SrPrTlHg structure from the Alexandria database. Energies are from PBE.

Results
**Space group**: F-43m
**Formation enthalpy at 0 K**: -0.45 eV per atom
**Size of the total moment**: 0.0 μB per cell

Unit cell a=5.6141 b=5.6141 c=5.6141 alpha=60.00 beta=60.00 gamma=60.00
Last column: nearest neighbours and their distance in Å.
Fractional positions:
1 Sr 0.0000 0.0000 0.0000  4 Hg 3.44, 4 Tl 3.44
2 Pr 0.5000 0.5000 0.5000  4 Hg 3.44, 4 Tl 3.44
3 Tl 0.7500 0.7500 0.7500  4 Pr 3.44, 4 Sr 3.44
4 Hg 0.2500 0.2500 0.2500  4 Pr 3.44, 4 Sr 3.44

***

Record 8
Here is a geometry-optimized SrPrZnHg structure from the Alexandria database. Energies are from PBE.

Results
**Offset from the most stable computed form**: 0.000 eV/atom
**Space group**: P4mm
**Formation enthalpy at 0 K**: -0.37 eV per atom
**Size of the total moment**: 0.2 μB per cell

Unit cell a=3.8674 b=3.8674 c=7.7666 alpha=90.00 beta=90.00 gamma=90.00
Last column: nearest neighbours and their distance in Å.
Fractional positions:
1 Sr 0.0000 0.0000 0.0000  4 Zn 3.44, 4 Hg 3.47, 1 Pr 3.73
2 Pr 0.0000 0.0000 0.4799  4 Zn 3.19, 4 Hg 3.33
3 Zn 0.5000 0.5000 0.2680  4 Pr 3.19, 4 Sr 3.44, 1 Hg 3.55
4 Hg 0.5000 0.5000 0.7245  4 Pr 3.33, 4 Sr 3.47, 1 Zn 3.55

***

Record 9
Here is a geometry-optimized SrPrZnHg structure from the Alexandria database. Energies are from PBE.

Results
**Offset from the most stable computed form**: 0.019 eV/atom
**Space group**: F-43m
**Formation enthalpy at 0 K**: -0.35 eV per atom
**Size of the total moment**: 0.0 μB per cell

Unit cell a=5.4622 b=5.4622 c=5.4622 alpha=60.00 beta=60.00 gamma=60.00
Last column: nearest neighbours and their distance in Å.
Fractional positions:
1 Sr 0.0000 0.0000 0.0000  4 Zn 3.34, 4 Hg 3.34
2 Pr 0.5000 0.5000 0.5000  4 Hg 3.34, 4 Zn 3.34
3 Zn 0.7500 0.7500 0.7500  4 Sr 3.34, 4 Pr 3.34
4 Hg 0.2500 0.2500 0.2500  4 Pr 3.34, 4 Sr 3.34

***

Record 10
Here is a geometry-optimized Tb4PrHg structure from the Alexandria database. Energies are from PBE.

Results
**Offset from the most stable computed form**: 0.000 eV/atom
**Space group**: P4/mmm
**Formation enthalpy at 0 K**: -0.14 eV per atom
**Size of the total moment**: 0.0 μB per cell

Unit cell a=3.6239 b=3.6239 c=14.0748 alpha=90.00 beta=90.00 gamma=90.00
Last column: nearest neighbours and their distance in Å.
Fractional positions:
1 Tb 0.0000 0.0000 0.1411  4 Hg 3.24, 8 Tb 3.57-3.62
2 Tb 0.0000 0.0000 0.8589  4 Hg 3.24, 8 Tb 3.57-3.62
3 Tb 0.5000 0.5000 0.3178  8 Tb 3.57-3.62, 4 Pr 3.63
4 Tb 0.5000 0.5000 0.6822  8 Tb 3.57-3.62, 4 Pr 3.63
5 Pr 0.0000 0.0000 0.5000  4 Pr 3.62, 8 Tb 3.63
6 Hg 0.5000 0.5000 0.0000  8 Tb 3.24, 4 Hg 3.62

***

Record 11
Here is a geometry-optimized TbPrHg3 structure from the Alexandria database. Energies are from PBE.

Results
**Offset from the most stable computed form**: 0.000 eV/atom
**Space group**: Cmcm
**Formation enthalpy at 0 K**: -0.43 eV per atom
**Size of the total moment**: 0.4 μB per cell

Unit cell a=14.8240 b=14.8240 c=4.9964 alpha=90.00 beta=90.00 gamma=165.98
Last column: nearest neighbours and their distance in Å.
Fractional positions:
1 Tb 0.2103 0.7897 0.7500  7 Hg 3.14-3.19
2 Tb 0.7897 0.2103 0.2500  7 Hg 3.14-3.19
3 Pr 0.0758 0.9242 0.2500  12 Hg 3.38-3.63, 2 Pr 3.62
4 Pr 0.9242 0.0758 0.7500  12 Hg 3.38-3.63, 2 Pr 3.62
5 Hg 0.3172 0.6828 0.7500  2 Hg 3.05, 5 Tb 3.15-3.19
6 Hg 0.3769 0.6231 0.2500  3 Hg 2.91-3.05, 2 Tb 3.14
7 Hg 0.4757 0.5243 0.2500  3 Hg 2.88-2.91
8 Hg 0.5243 0.4757 0.7500  3 Hg 2.88-2.91
9 Hg 0.6231 0.3769 0.7500  3 Hg 2.91-3.05, 2 Tb 3.14
10 Hg 0.6828 0.3172 0.2500  2 Hg 3.05, 5 Tb 3.15-3.19

***

Record 12
Here is a geometry-optimized TbPrHg5 structure from the Alexandria database. Energies are from PBE.

Results
**Space group**: P4/mmm
**Formation enthalpy at 0 K**: -0.29 eV per atom
**Size of the total moment**: 0.0 μB per cell

Unit cell a=4.6494 b=4.6494 c=8.9067 alpha=90.00 beta=90.00 gamma=90.00
Last column: nearest neighbours and their distance in Å.
Fractional positions:
1 Tb 0.0000 0.0000 0.0000  12 Hg 3.23-3.29
2 Pr 0.5000 0.5000 0.5000  8 Hg 3.21
3 Hg 0.0000 0.5000 0.2520  2 Pr 3.21, 6 Hg 3.23-3.29, 2 Tb 3.23
4 Hg 0.0000 0.5000 0.7480  2 Pr 3.21, 6 Hg 3.23-3.29, 2 Tb 3.23
5 Hg 0.5000 0.0000 0.2520  2 Pr 3.21, 6 Hg 3.23-3.29, 2 Tb 3.23
6 Hg 0.5000 0.0000 0.7480  2 Pr 3.21, 6 Hg 3.23-3.29, 2 Tb 3.23
7 Hg 0.5000 0.5000 0.0000  8 Hg 3.23, 4 Tb 3.29

***

| no. | calculated density (g/cm3) |
| --- | --- |
| 1 | 7.58 |
| 2 | 6.67 |
| 3 | 6.31 |
| 4 | 8.01 |
| 5 | 7.43 |
| 6 | 6.43 |
| 7 | 8.41 |
| 8 | 7.07 |
| 9 | 7.13 |
| 10 | 8.78 |
| 11 | 11.26 |
| 12 | 11.24 |